(1)
First-principles (PBE) data for a geometry-optimized Zn3NiTe4 structure, as listed in the Open Quantum Materials Database.

Values from the calculation:
Energy in eV for the cell shown: -24.3

Structure (POSCAR):
```
Zn3NiTe4
1.0
-5.604 -1.925 -1.255
2.297 -4.699 -3.054
-0.003 -3.301 5.078
Te Ni Zn
4 1 3
Cartesian
0.395 -6.539 1.236
-2.512 -5.825 -2.051
-3.707 -5.099 2.170
-0.796 -2.386 0.185
0.000 0.000 0.000
1.147 -4.000 1.012
-1.653 -3.312 -2.154
-2.804 -2.613 1.912
```

=====

(2)
First-principles (PBE) data for a geometry-optimized ZnNiTe2 structure, as listed in the Open Quantum Materials Database.

Values from the calculation:
Excess energy over the best structure of this formula in the dataset in eV per formula unit: 0.000

Structure (POSCAR):
```
ZnNiTe2
1.0
5.777 -0.240 -4.403
4.893 -4.643 2.705
-7.114 -0.693 -1.314
Te Ni Zn
4 2 2
Cartesian
6.828 -2.099 -2.800
-2.260 -0.983 -1.028
-0.605 -4.698 -0.637
3.149 -3.373 -1.560
1.557 -3.889 0.271
5.335 -2.442 -0.849
0.000 0.000 0.000
1.999 -1.688 -3.283
```

=====

(3)
First-principles (PBE) data for a geometry-optimized Zr6NiTe2 structure, as listed in the Open Quantum Materials Database.

Values from the calculation:
Energy in eV for the cell shown: -68.4

Structure (POSCAR):
```
Zr6NiTe2
1.0
3.866 -6.697 0.000
3.866 6.697 0.000
0.000 0.000 3.710
Zr Te Ni
6 2 1
Cartesian
5.881 0.000 0.000
2.297 3.979 1.855
2.297 -3.979 1.855
0.926 1.603 0.000
3.138 0.000 1.855
0.926 -1.603 0.000
3.866 -2.232 0.000
3.866 2.232 0.000
0.000 0.000 1.855
```

=====

Asked for magnetization across the records above, the calculation gives 1.34; 0.01; 0.01 μB/cell in order.